An optimized crystal structure of Ta6CrMo, computed with PBE.

## Properties
As for the crystal system: tetragonal. As for the final energy: -11.486 eV/atom. As for the space group: I4/mmm. For the magnetic moment, the calculation gives 0.005 Bohr magnetons per cell. As for the formation energy: -31 kJ/mol of formula units.

abc: 4.546 4.546 7.374
angles: 72.05 72.05 90.00
Atoms (fractional coordinates):
Ta: 0.748 0.748 0.503
Ta: 0.617 0.117 0.765
Ta: 0.117 0.617 0.765
Ta: 0.383 0.883 0.235
Ta: 0.252 0.252 0.497
Ta: 0.883 0.383 0.235
Cr: 0.500 0.500 0.000
Mo: 0.000 0.000 0.000